Record 1
Here is As2OsCl after structural relaxation from Alexandria. Energies are from GGA-PBEsol.

Lattice parameters (Å, degrees): 6.3486 6.3486 6.3486 90.00 90.00 90.00
Closest atoms and distances in Å follow each position.
Fractional coordinates of all 16 atoms:
1 As 0.2500 0.2500 0.2500  4 Cl 2.75, 4 Os 2.75
2 As 0.2500 0.2500 0.7500  4 Cl 2.75, 4 Os 2.75
3 As 0.2500 0.7500 0.2500  4 Cl 2.75, 4 Os 2.75
4 As 0.2500 0.7500 0.7500  4 Cl 2.75, 4 Os 2.75
5 As 0.7500 0.2500 0.2500  4 Cl 2.75, 4 Os 2.75
6 As 0.7500 0.2500 0.7500  4 Cl 2.75, 4 Os 2.75
7 As 0.7500 0.7500 0.2500  4 Cl 2.75, 4 Os 2.75
8 As 0.7500 0.7500 0.7500  4 Os 2.75, 4 Cl 2.75
9 Os 0.0000 0.0000 0.0000  8 As 2.75
10 Os 0.0000 0.5000 0.5000  8 As 2.75
11 Os 0.5000 0.0000 0.5000  8 As 2.75
12 Os 0.5000 0.5000 0.0000  8 As 2.75
13 Cl 0.0000 0.0000 0.5000  8 As 2.75
14 Cl 0.0000 0.5000 0.0000  8 As 2.75
15 Cl 0.5000 0.0000 0.0000  8 As 2.75
16 Cl 0.5000 0.5000 0.5000  8 As 2.75

Computed properties:
Energy above the most stable polymorph in this dataset ... 138 kJ/mol of formula units
Energy ... -86.30 eV for the cell shown
Calculated volume ... 255.9 Å³/cell
Total magnetic moment ... 0.82 μB/f.u.

Record 2
Here is As3OsCl after structural relaxation from Alexandria. Energies are from GGA-PBEsol.

Lattice parameters (Å, degrees): 4.7781 4.7781 4.7781 90.00 90.00 90.00
Closest atoms and distances in Å follow each position.
Fractional coordinates of all 5 atoms:
1 As 0.0000 0.0000 0.5000  2 Os 2.39
2 As 0.0000 0.5000 0.0000  2 Os 2.39
3 As 0.5000 0.0000 0.0000  2 Os 2.39
4 Os 0.0000 0.0000 0.0000  6 As 2.39
5 Cl 0.5000 0.5000 0.5000  12 As 3.38

Computed properties:
Energy ... -26.68 eV for the cell shown
Calculated volume ... 109.1 Å³/cell
Total magnetic moment ... 0.00 μB/f.u.

For reference, raw formation energy by record: 0.7157; 0.5724 eV per atom.